1.
A plane-wave DFT calculation with PBE was carried out for a geometry-optimized ReMo5Ir6 structure.

Lattice parameters (Å, degrees): 3.910 7.311 7.311 106.33 105.52 105.52
Fractional positions:
1 Mo 0.500 0.165 0.835
2 Mo 0.000 0.665 0.335
3 Mo 0.000 0.335 0.665
4 Mo 0.500 0.500 0.500
5 Mo 0.500 0.835 0.165
6 Ir 0.751 0.917 0.585
7 Ir 0.249 0.083 0.415
8 Ir 0.253 0.753 0.753
9 Ir 0.249 0.415 0.083
10 Ir 0.751 0.585 0.917
11 Ir 0.747 0.247 0.247
12 Re 0.000 0.000 0.000

Properties
**Raw total energy**: -10.26 eV per atom
**Volume**: 14.960 Å³ per atom
**Energy relative to the elements**: -282 meV per atom
**Fermi-level density of states**: 6.42 states/eV per cell

***

2.
A plane-wave DFT calculation with PBE was carried out for a geometry-optimized Re2MoIr structure.

Lattice parameters (Å, degrees): 2.769 2.769 7.861 90.00 90.00 90.00
Fractional positions:
1 Mo 0.500 0.500 0.749
2 Ir 0.000 0.000 0.497
3 Re 0.500 0.500 0.247
4 Re 0.000 0.000 0.007

Properties
**Raw total energy**: -11.20 eV per atom
**Volume**: 15.069 Å³ per atom
**Energy relative to the elements**: -49 meV per atom
**Fermi-level density of states**: 2.60 states/eV per cell
**Distance to the lowest polymorph of the same formula**: 0.077 eV per atom

***

3.
A plane-wave DFT calculation with PBE was carried out for a geometry-optimized Re2MoIr structure.

Lattice parameters (Å, degrees): 9.333 9.333 9.333 16.98 16.98 16.98
Fractional positions:
1 Mo 0.750 0.750 0.750
2 Ir 0.250 0.250 0.250
3 Re 0.502 0.502 0.502
4 Re 0.998 0.998 0.998

Properties
**Raw total energy**: -11.08 eV per atom
**Volume**: 15.129 Å³ per atom
**Energy relative to the elements**: 71 meV per atom
**Fermi-level density of states**: 4.29 states/eV per cell
**Distance to the lowest polymorph of the same formula**: 0.198 eV per atom

***

4.
A plane-wave DFT calculation with PBE was carried out for a geometry-optimized Re2MoIr structure.

Lattice parameters (Å, degrees): 4.819 4.819 2.749 90.00 90.00 109.70
Fractional positions:
1 Re 0.500 0.500 0.000
2 Re 0.000 0.000 0.000
3 Ir 0.500 0.000 0.500
4 Mo 0.000 0.500 0.500

Properties
**Raw total energy**: -11.18 eV per atom
**Volume**: 15.028 Å³ per atom
**Energy relative to the elements**: -29 meV per atom
**Fermi-level density of states**: 2.91 states/eV per cell
**Distance to the lowest polymorph of the same formula**: 0.097 eV per atom

***

5.
A plane-wave DFT calculation with PBE was carried out for a geometry-optimized ReMoIr4 structure.

Lattice parameters (Å, degrees): 5.665 5.664 6.534 90.00 90.00 89.96
Fractional positions:
1 Ir 0.251 0.000 0.500
2 Ir 0.251 0.500 0.000
3 Ir 0.749 0.000 0.500
4 Ir 0.749 0.000 0.000
5 Ir 0.251 0.000 0.000
6 Ir 0.251 0.500 0.500
7 Ir 0.749 0.500 0.000
8 Ir 0.749 0.500 0.500
9 Mo 0.000 0.750 0.250
10 Mo 0.000 0.250 0.750
11 Re 0.500 0.250 0.250
12 Re 0.500 0.750 0.750

Properties
**Raw total energy**: -9.52 eV per atom
**Volume**: 17.472 Å³ per atom
**Energy relative to the elements**: 267 meV per atom
**Fermi-level density of states**: 5.75 states/eV per cell
**Distance to the lowest polymorph of the same formula**: 0.271 eV per atom

***

6.
A plane-wave DFT calculation with PBE was carried out for a geometry-optimized Re2MoIr structure.

Lattice parameters (Å, degrees): 4.420 4.420 4.420 60.00 60.00 60.00
Each line ends with the local moment (μB).
Fractional positions:
1 Ir 0.500 0.500 0.500  0.18
2 Re 0.250 0.250 0.250  0.07
3 Re 0.750 0.750 0.750  0.07
4 Mo 0.000 0.000 0.000  -0.01

Properties
**Raw total energy**: -10.81 eV per atom
**Volume**: 15.268 Å³ per atom
**Energy relative to the elements**: 338 meV per atom
**Fermi-level density of states**: 5.52 states/eV per cell
**Distance to the lowest polymorph of the same formula**: 0.465 eV per atom

***

7.
A plane-wave DFT calculation with PBE was carried out for a geometry-optimized ReMoIr4 structure.

Lattice parameters (Å, degrees): 5.095 5.095 5.095 60.00 60.00 60.00
Fractional positions:
1 Mo 0.250 0.250 0.250
2 Ir 0.625 0.625 0.125
3 Ir 0.625 0.625 0.625
4 Ir 0.125 0.625 0.625
5 Ir 0.625 0.125 0.625
6 Re 0.000 0.000 0.000

Properties
**Raw total energy**: -9.40 eV per atom
**Volume**: 15.584 Å³ per atom
**Energy relative to the elements**: 390 meV per atom
**Fermi-level density of states**: 9.93 states/eV per cell
**Distance to the lowest polymorph of the same formula**: 0.394 eV per atom

***

8.
A plane-wave DFT calculation with PBE was carried out for a geometry-optimized Re2MoIr structure.

Lattice parameters (Å, degrees): 4.790 4.790 4.828 80.75 80.75 33.48
Fractional positions:
1 Mo 0.250 0.250 0.250
2 Re 0.003 0.003 0.995
3 Re 0.497 0.497 0.505
4 Ir 0.750 0.750 0.750

Properties
**Raw total energy**: -11.19 eV per atom
**Volume**: 15.060 Å³ per atom
**Energy relative to the elements**: -38 meV per atom
**Fermi-level density of states**: 3.49 states/eV per cell
**Distance to the lowest polymorph of the same formula**: 0.088 eV per atom

***

9.
A plane-wave DFT calculation with PBE was carried out for a geometry-optimized Re2MoIr structure.

Lattice parameters (Å, degrees): 9.240 9.240 9.240 17.23 17.23 17.23
Fractional positions:
1 Ir 0.500 0.500 0.500
2 Mo 0.752 0.752 0.752
3 Re 0.251 0.251 0.251
4 Re 0.998 0.998 0.998

Properties
**Raw total energy**: -11.14 eV per atom
**Volume**: 15.107 Å³ per atom
**Energy relative to the elements**: 10 meV per atom
**Fermi-level density of states**: 4.07 states/eV per cell
**Distance to the lowest polymorph of the same formula**: 0.136 eV per atom

***

10.
A plane-wave DFT calculation with PBE was carried out for a geometry-optimized Re2MoIr structure.

Lattice parameters (Å, degrees): 3.285 3.285 5.695 90.00 90.00 90.00
Fractional positions:
1 Ir 0.000 0.000 0.515
2 Mo 0.500 0.500 0.732
3 Re 0.000 0.000 0.008
4 Re 0.500 0.500 0.245

Properties
**Raw total energy**: -10.93 eV per atom
**Volume**: 15.366 Å³ per atom
**Energy relative to the elements**: 219 meV per atom
**Fermi-level density of states**: 4.27 states/eV per cell
**Distance to the lowest polymorph of the same formula**: 0.346 eV per atom

***

11.
A plane-wave DFT calculation with PBE was carried out for a geometry-optimized Re2MoIr structure.

Lattice parameters (Å, degrees): 3.854 3.854 9.395 78.16 78.16 90.00
Fractional positions:
1 Mo 0.250 0.750 0.500
2 Mo 0.500 0.500 0.000
3 Ir 0.750 0.250 0.500
4 Ir 0.000 0.000 0.000
5 Re 0.097 0.625 0.250
6 Re 0.653 0.125 0.250
7 Re 0.375 0.347 0.750
8 Re 0.875 0.903 0.750

Properties
**Raw total energy**: -10.43 eV per atom
**Volume**: 16.693 Å³ per atom
**Energy relative to the elements**: 722 meV per atom
**Fermi-level density of states**: 9.18 states/eV per cell
**Distance to the lowest polymorph of the same formula**: 0.848 eV per atom

***

12.
A plane-wave DFT calculation with PBE was carried out for a geometry-optimized ReMo3Ir structure.

Lattice parameters (Å, degrees): 4.652 4.652 4.652 90.00 90.00 90.00
Fractional positions:
1 Re 0.000 0.000 0.000
2 Mo 0.000 0.000 0.500
3 Mo 0.000 0.500 0.000
4 Mo 0.500 0.000 0.000
5 Ir 0.500 0.500 0.500

Properties
**Raw total energy**: -8.91 eV per atom
**Volume**: 20.140 Å³ per atom
**Energy relative to the elements**: 1847 meV per atom
**Fermi-level density of states**: 5.51 states/eV per cell
**Distance to the lowest polymorph of the same formula**: 0.000 eV per atom